The following is a DFT calculation (PBE) of AcTb2Ag6 after structural relaxation.

Cell lengths 8.3250, 8.3250, 3.6209 Å; angles 90.00, 90.00, 120.00 degrees
Space group P6/mmm (No. 191)
Inequivalent atoms, fractional coordinates:
Ac 0.0000 0.0000 0.0000
Tb 0.3333 0.6667 0.0000
Ag 0.0000 0.3376 0.5000

The value obtained for the formation energy is -243.1 meV per atom.

---

The following is a DFT calculation (PBE) of SnIrIO2 after structural relaxation.

Cell lengths 3.9298, 3.9298, 6.6931 Å; angles 90.00, 90.00, 90.00 degrees
Space group P4/mmm (No. 123)
Inequivalent atoms, fractional coordinates:
Sn 0.0000 0.0000 0.0000
Ir 0.5000 0.5000 0.5000
I 0.0000 0.0000 0.5000
O 0.0000 0.5000 0.0000

The uncorrected formation energy is 0.75 eV per formula unit. Its energy above the most stable polymorph in this dataset is 0.0000 eV/atom.

---

The following is a DFT calculation (PBE) of ErTeSe after structural relaxation.

Cell lengths 4.8631, 4.8631, 7.6031 Å; angles 90.00, 90.00, 90.00 degrees
Space group P4/nmm (No. 129, origin choice 2)
Inequivalent atoms, fractional coordinates:
Er 0.2500 0.2500 0.1884
Te 0.2500 0.7500 0.5000
Se 0.2500 0.7500 0.0000

The uncorrected formation energy is -3.80 eV per formula unit. Its energy above the most stable polymorph in this dataset is 0.1118 eV/atom.